[1]
Entry from Alexandria: a relaxed structure of Ti3ZnAu2 (GGA-PBE).

Output
ΔE_f   0.049 eV/atom
Fermi-level density of states   5.5 states/eV/f.u.

Geometry as POSCAR:
```
Ti3ZnAu2
1.0
-1.4114 2.4826 7.7217
1.4114 -2.4826 7.7217
1.4114 2.4826 -7.7217
Ti Zn Au
3 1 2
direct
0.0000 0.0000 0.0000 Ti
0.3248 0.8248 0.5000 Ti
0.6752 0.1752 0.5000 Ti
0.5000 0.0000 0.5000 Zn
0.1502 0.6502 0.5000 Au
0.8498 0.3498 0.5000 Au
```

***

[2]
Entry from Alexandria: a relaxed structure of Ti3Zn2Au3 (GGA-PBE).

Output
ΔE_f   -0.284 eV/atom
Fermi-level density of states   6.6 states/eV/f.u.

Geometry as POSCAR:
```
Ti3Zn2Au3
1.0
8.0334 -2.0468 0.0000
8.0334 2.0468 0.0000
-1.0568 0.0000 4.0085
Ti Zn Au
3 2 3
direct
0.0000 0.0000 0.0000 Ti
0.1242 0.1242 0.6244 Ti
0.8758 0.8758 0.3756 Ti
0.2481 0.2481 0.2479 Zn
0.7519 0.7519 0.7521 Zn
0.3627 0.3627 0.8621 Au
0.5000 0.5000 0.5000 Au
0.6373 0.6373 0.1379 Au
```

***

[3]
Entry from Alexandria: a relaxed structure of TiZn4Au5 (GGA-PBE).

Output
ΔE_f   -0.256 eV/atom
Fermi-level density of states   3.8 states/eV/f.u.

Geometry as POSCAR:
```
TiZn4Au5
1.0
3.1466 0.0000 0.0000
0.0000 3.1466 0.0000
0.0000 0.0000 16.6337
Ti Zn Au
1 4 5
direct
0.0000 0.0000 0.0000 Ti
0.0000 0.0000 0.2037 Zn
0.0000 0.0000 0.4016 Zn
0.0000 0.0000 0.5984 Zn
0.0000 0.0000 0.7963 Zn
0.5000 0.5000 0.1053 Au
0.5000 0.5000 0.3033 Au
0.5000 0.5000 0.5000 Au
0.5000 0.5000 0.6967 Au
0.5000 0.5000 0.8947 Au
```

***

[4]
Entry from Alexandria: a relaxed structure of Ti4Zn2Au5 (GGA-PBE).

Output
ΔE_f   -0.260 eV/atom
Fermi-level density of states   10.5 states/eV/f.u.

Geometry as POSCAR:
```
Ti4Zn2Au5
1.0
7.0570 0.0000 0.0000
0.0000 2.8334 0.0000
-0.7824 0.0000 9.2631
Ti Zn Au
4 2 5
direct
0.1661 0.0000 0.3894 Ti
0.2870 0.0000 0.9444 Ti
0.7130 0.0000 0.0556 Ti
0.8339 0.0000 0.6106 Ti
0.0546 0.5000 0.1306 Zn
0.9454 0.5000 0.8694 Zn
0.1797 0.5000 0.6643 Au
0.4258 0.5000 0.1946 Au
0.5000 0.5000 0.5000 Au
0.5742 0.5000 0.8054 Au
0.8203 0.5000 0.3357 Au
```

***

[5]
Entry from Alexandria: a relaxed structure of Ti6Zn5Au (GGA-PBE).

Output
ΔE_f   -0.189 eV/atom
Fermi-level density of states   10.8 states/eV/f.u.

Geometry as POSCAR:
```
Ti6Zn5Au
1.0
2.2533 -6.7655 0.0000
2.2533 6.7655 0.0000
0.0000 0.0000 6.2631
Ti Zn Au
6 5 1
direct
0.0000 0.0000 0.2416 Ti
0.0000 0.0000 0.7584 Ti
0.3303 0.6697 0.2467 Ti
0.3303 0.6697 0.7533 Ti
0.6697 0.3303 0.2467 Ti
0.6697 0.3303 0.7533 Ti
0.1663 0.8337 0.0000 Zn
0.1659 0.8341 0.5000 Zn
0.5000 0.5000 0.0000 Zn
0.8337 0.1663 0.0000 Zn
0.8341 0.1659 0.5000 Zn
0.5000 0.5000 0.5000 Au
```

***

[6]
Entry from Alexandria: a relaxed structure of TiZn4Au2 (GGA-PBE).

Output
Energy above the lowest structure with this stoichiometry   58.4 kJ per mole of atoms
ΔE_f   0.517 eV/atom
Fermi-level density of states   3.9 states/eV/f.u.

Geometry as POSCAR:
```
TiZn4Au2
1.0
-2.4628 2.4628 6.3535
2.4628 -2.4628 6.3535
2.4628 2.4628 -6.3535
Ti Zn Au
1 4 2
direct
0.0000 0.0000 0.0000 Ti
0.0000 0.5000 0.5000 Zn
0.4006 0.4006 0.0000 Zn
0.5000 0.0000 0.5000 Zn
0.5994 0.5994 0.0000 Zn
0.1997 0.1997 0.0000 Au
0.8003 0.8003 0.0000 Au
```

***

[7]
Entry from Alexandria: a relaxed structure of Ti6ZnAu (GGA-PBE).

Output
ΔE_f   -0.129 eV/atom
Fermi-level density of states   12.8 states/eV/f.u.

Geometry as POSCAR:
```
Ti6ZnAu
1.0
5.6854 0.0000 0.0000
-2.8427 4.9237 0.0000
0.0000 0.0000 4.7735
Ti Zn Au
6 1 1
direct
0.0081 0.5040 0.0000 Ti
0.3315 0.1658 0.5000 Ti
0.4960 0.5040 0.0000 Ti
0.4960 0.9919 0.0000 Ti
0.8342 0.1658 0.5000 Ti
0.8342 0.6685 0.5000 Ti
0.3333 0.6667 0.5000 Zn
0.0000 0.0000 0.0000 Au
```

***

[8]
Entry from Alexandria: a relaxed structure of Ti2Zn2Au3 (GGA-PBE).

Output
ΔE_f   -0.199 eV/atom
Fermi-level density of states   5.4 states/eV/f.u.

Geometry as POSCAR:
```
Ti2Zn2Au3
1.0
4.6636 -1.9097 0.0000
4.6636 1.9097 0.0000
-0.6738 0.0000 6.6260
Ti Zn Au
2 2 3
direct
0.1360 0.1360 0.4312 Ti
0.8640 0.8640 0.5688 Ti
0.4245 0.4245 0.2726 Zn
0.5755 0.5755 0.7274 Zn
0.0000 0.0000 0.0000 Au
0.2823 0.2823 0.8285 Au
0.7177 0.7177 0.1715 Au
```

***

[9]
Entry from Alexandria: a relaxed structure of Ti5Zn4Au (GGA-PBE).

Output
ΔE_f   -0.204 eV/atom
Fermi-level density of states   7.3 states/eV/f.u.

Geometry as POSCAR:
```
Ti5Zn4Au
1.0
3.1867 0.0000 0.0000
0.0000 3.1867 0.0000
0.0000 0.0000 15.6806
Ti Zn Au
5 4 1
direct
0.0000 0.0000 0.0000 Ti
0.0000 0.0000 0.1960 Ti
0.0000 0.0000 0.3926 Ti
0.0000 0.0000 0.6074 Ti
0.0000 0.0000 0.8040 Ti
0.5000 0.5000 0.0981 Zn
0.5000 0.5000 0.2929 Zn
0.5000 0.5000 0.7071 Zn
0.5000 0.5000 0.9019 Zn
0.5000 0.5000 0.5000 Au
```

***

[10]
Entry from Alexandria: a relaxed structure of Ti2ZnAu8 (GGA-PBE).

Output
ΔE_f   -0.239 eV/atom
Fermi-level density of states   4.9 states/eV/f.u.

Geometry as POSCAR:
```
Ti2ZnAu8
1.0
6.8927 -2.3005 0.0000
6.8927 2.3005 0.0000
-3.4350 0.0000 6.0958
Ti Zn Au
2 1 8
direct
0.2119 0.2119 0.1547 Ti
0.7881 0.7881 0.8453 Ti
0.5000 0.5000 0.5000 Zn
0.0302 0.0302 0.2226 Au
0.1517 0.1517 0.6991 Au
0.3285 0.3285 0.6055 Au
0.3868 0.3868 0.0671 Au
0.6132 0.6132 0.9329 Au
0.6715 0.6715 0.3945 Au
0.8483 0.8483 0.3009 Au
0.9698 0.9698 0.7774 Au
```

***

[11]
Entry from Alexandria: a relaxed structure of Ti5ZnAu6 (GGA-PBE).

Output
ΔE_f   -0.332 eV/atom
Fermi-level density of states   11.7 states/eV/f.u.

Geometry as POSCAR:
```
Ti5ZnAu6
1.0
-2.1454 3.7192 6.4511
2.1454 -3.7192 6.4511
2.1454 3.7192 -6.4511
Ti Zn Au
5 1 6
direct
0.0000 0.0000 0.0000 Ti
0.1607 0.6607 0.5000 Ti
0.3239 0.3239 0.0000 Ti
0.6761 0.6761 0.0000 Ti
0.8393 0.3393 0.5000 Ti
0.5000 0.0000 0.5000 Zn
0.0882 0.8335 0.2547 Au
0.2630 0.5000 0.7630 Au
0.4213 0.1665 0.2547 Au
0.5787 0.8335 0.7453 Au
0.7370 0.5000 0.2370 Au
0.9118 0.1665 0.7453 Au
```

***

[12]
Entry from Alexandria: a relaxed structure of Ti2ZnAu4 (GGA-PBE).

Output
Energy above the lowest structure with this stoichiometry   9.0 kJ per mole of atoms
ΔE_f   -0.183 eV/atom
Fermi-level density of states   5.3 states/eV/f.u.

Geometry as POSCAR:
```
Ti2ZnAu4
1.0
6.8339 0.0000 0.0000
0.0000 5.2982 0.0000
-3.3190 0.0000 6.8228
Ti Zn Au
4 2 8
direct
0.1424 0.2500 0.0645 Ti
0.2978 0.2500 0.5105 Ti
0.7022 0.7500 0.4895 Ti
0.8576 0.7500 0.9355 Ti
0.2528 0.7500 0.2799 Zn
0.7472 0.2500 0.7201 Zn
0.0854 0.5013 0.7214 Au
0.0854 0.9987 0.7214 Au
0.4376 0.7500 0.6693 Au
0.4735 0.7500 0.0752 Au
0.5265 0.2500 0.9248 Au
0.5624 0.2500 0.3307 Au
0.9146 0.0013 0.2786 Au
0.9146 0.4987 0.2786 Au
```

***

[13]
Entry from Alexandria: a relaxed structure of Ti3Zn4Au2 (GGA-PBE).

Output
ΔE_f   -0.281 eV/atom
Fermi-level density of states   7.1 states/eV/f.u.

Geometry as POSCAR:
```
Ti3Zn4Au2
1.0
4.7503 -2.2241 0.0000
4.7503 2.2241 0.0000
-4.6319 0.0000 6.7485
Ti Zn Au
3 4 2
direct
0.0000 0.0000 0.0000 Ti
0.3333 0.3333 0.3333 Ti
0.6667 0.6667 0.6667 Ti
0.0545 0.0545 0.3929 Zn
0.2764 0.2764 0.9508 Zn
0.7236 0.7236 0.0492 Zn
0.9455 0.9455 0.6071 Zn
0.3887 0.3887 0.7245 Au
0.6113 0.6113 0.2755 Au
```

***

[14]
Entry from Alexandria: a relaxed structure of Ti2Zn3Au2 (GGA-PBE).

Output
ΔE_f   -0.214 eV/atom
Fermi-level density of states   5.3 states/eV/f.u.

Geometry as POSCAR:
```
Ti2Zn3Au2
1.0
4.6820 -1.5872 0.0000
4.6820 1.5872 0.0000
-0.0341 0.0000 7.6066
Ti Zn Au
2 3 2
direct
0.0834 0.0834 0.2820 Ti
0.9166 0.9166 0.7180 Ti
0.2038 0.2038 0.8739 Zn
0.5000 0.5000 0.0000 Zn
0.7962 0.7962 0.1261 Zn
0.3617 0.3617 0.4127 Au
0.6383 0.6383 0.5873 Au
```

***

[15]
Entry from Alexandria: a relaxed structure of Ti2ZnAu2 (GGA-PBE).

Output
Energy above the lowest structure with this stoichiometry   17.2 kJ per mole of atoms
ΔE_f   -0.103 eV/atom
Fermi-level density of states   4.3 states/eV/f.u.

Geometry as POSCAR:
```
Ti2ZnAu2
1.0
7.6558 0.0000 0.0000
0.0000 7.6558 0.0000
0.0000 0.0000 3.1089
Ti Zn Au
4 2 4
direct
0.1632 0.3368 0.0000 Ti
0.3368 0.8368 0.0000 Ti
0.6632 0.1632 0.0000 Ti
0.8368 0.6632 0.0000 Ti
0.0000 0.0000 0.0000 Zn
0.5000 0.5000 0.0000 Zn
0.1336 0.6336 0.5000 Au
0.3664 0.1336 0.5000 Au
0.6336 0.8664 0.5000 Au
0.8664 0.3664 0.5000 Au
```

***

[16]
Entry from Alexandria: a relaxed structure of Ti5Zn2Au (GGA-PBE).

Output
ΔE_f   -0.116 eV/atom
Fermi-level density of states   9.1 states/eV/f.u.

Geometry as POSCAR:
```
Ti5Zn2Au
1.0
-3.4909 3.4909 5.5233
3.4909 -3.4909 5.5233
3.4909 3.4909 -5.5233
Ti Zn Au
10 4 2
direct
0.0000 0.0000 0.0000 Ti
0.0052 0.5052 0.1918 Ti
0.1866 0.9948 0.5000 Ti
0.3134 0.8134 0.8082 Ti
0.4948 0.6866 0.5000 Ti
0.5000 0.5000 0.0000 Ti
0.5052 0.3134 0.5000 Ti
0.6866 0.1866 0.1918 Ti
0.8134 0.0052 0.5000 Ti
0.9948 0.4948 0.8082 Ti
0.1386 0.3614 0.5000 Zn
0.3614 0.8614 0.2227 Zn
0.6386 0.1386 0.7773 Zn
0.8614 0.6386 0.5000 Zn
0.2500 0.2500 0.0000 Au
0.7500 0.7500 0.0000 Au
```

***

[17]
Entry from Alexandria: a relaxed structure of Ti2Zn4Au3 (GGA-PBE).

Output
ΔE_f   -0.145 eV/atom
Fermi-level density of states   6.1 states/eV/f.u.

Geometry as POSCAR:
```
Ti2Zn4Au3
1.0
2.6968 -7.7482 0.0000
2.6968 7.7482 0.0000
0.0000 0.0000 7.4088
Ti Zn Au
4 8 6
direct
0.0797 0.9203 0.8744 Ti
0.4203 0.5797 0.3744 Ti
0.5797 0.4203 0.6256 Ti
0.9203 0.0797 0.1256 Ti
0.1658 0.8342 0.5060 Zn
0.1711 0.3289 0.7500 Zn
0.3289 0.1711 0.2500 Zn
0.3342 0.6658 0.0060 Zn
0.6658 0.3342 0.9940 Zn
0.6711 0.8289 0.7500 Zn
0.8289 0.6711 0.2500 Zn
0.8342 0.1658 0.4940 Zn
0.0000 0.0000 0.5000 Au
0.0037 0.4963 0.2500 Au
0.4963 0.0037 0.7500 Au
0.5000 0.5000 0.0000 Au
0.5037 0.9963 0.2500 Au
0.9963 0.5037 0.7500 Au
```

***

[18]
Entry from Alexandria: a relaxed structure of Ti4ZnAu (GGA-PBE).

Output
ΔE_f   -0.021 eV/atom
Fermi-level density of states   7.6 states/eV/f.u.

Geometry as POSCAR:
```
Ti4ZnAu
1.0
4.6568 0.0000 0.0000
-2.3284 4.0330 0.0000
0.0000 0.0000 5.2126
Ti Zn Au
4 1 1
direct
0.3333 0.6667 0.2476 Ti
0.3333 0.6667 0.7524 Ti
0.6667 0.3333 0.2476 Ti
0.6667 0.3333 0.7524 Ti
0.0000 0.0000 0.0000 Zn
0.0000 0.0000 0.5000 Au
```

***

[19]
Entry from Alexandria: a relaxed structure of TiZn2Au8 (GGA-PBE).

Output
Energy above the lowest structure with this stoichiometry   0.0 kJ per mole of atoms
ΔE_f   -0.195 eV/atom
Fermi-level density of states   3.7 states/eV/f.u.

Geometry as POSCAR:
```
TiZn2Au8
1.0
7.2685 -2.0427 0.0000
7.2685 2.0427 0.0000
-1.9675 0.0000 6.3657
Ti Zn Au
1 2 8
direct
0.0000 0.0000 0.0000 Ti
0.2769 0.2769 0.3489 Zn
0.7231 0.7231 0.6511 Zn
0.1026 0.1026 0.4542 Au
0.1779 0.1779 0.9107 Au
0.3598 0.3598 0.8084 Au
0.4577 0.4577 0.2674 Au
0.5423 0.5423 0.7326 Au
0.6402 0.6402 0.1916 Au
0.8221 0.8221 0.0893 Au
0.8974 0.8974 0.5458 Au
```

***

[20]
Entry from Alexandria: a relaxed structure of Ti2Zn2Au (GGA-PBE).

Output
Energy above the lowest structure with this stoichiometry   2.1 kJ per mole of atoms
ΔE_f   -0.190 eV/atom
Fermi-level density of states   3.3 states/eV/f.u.

Geometry as POSCAR:
```
Ti2Zn2Au
1.0
-1.5219 1.7763 7.4822
1.5219 -1.7763 7.4822
1.5219 1.7763 -7.4822
Ti Zn Au
2 2 1
direct
0.2007 0.2007 0.0000 Ti
0.7993 0.7993 0.0000 Ti
0.4000 0.4000 0.0000 Zn
0.6000 0.6000 0.0000 Zn
0.0000 0.0000 0.0000 Au
```